[1]
The following is a DFT calculation (PBE) of a geometry-optimized SrCdGeIr structure.

## Properties
- Calculated total energy: -0.32978 Ry per atom
- Total magnetization: 0.0 μB/f.u.
- Energy of formation: -1.87 eV/f.u.
- Space group: P4/nmm (129)

Cell lengths 4.1813, 4.1813, 11.5962 Å; angles 90.00, 90.00, 90.00 degrees
Fractional positions:
Sr: 0.2500 0.2500 0.2325
Sr: 0.7500 0.7500 0.7675
Cd: 0.2500 0.7500 0.5000
Cd: 0.7500 0.2500 0.5000
Ge: 0.2500 0.2500 0.8827
Ge: 0.7500 0.7500 0.1173
Ir: 0.2500 0.7500 0.0000
Ir: 0.7500 0.2500 0.0000

***

[2]
The following is a DFT calculation (PBE) of a geometry-optimized Th2CdGe3Ir4 structure.

## Properties
- Calculated total energy: -0.52817 Ry per atom
- Total magnetization: 0.0 μB/f.u.
- Energy of formation: -6.81 eV/f.u.
- Space group: P-4m2 (115)

Cell lengths 4.1449, 4.1449, 11.3088 Å; angles 90.00, 90.00, 90.00 degrees
Fractional positions:
Th: 0.0000 0.5000 0.2465
Th: 0.5000 0.0000 0.7535
Cd: 0.0000 0.0000 0.5000
Ge: 0.0000 0.5000 0.8792
Ge: 0.5000 0.0000 0.1208
Ge: 0.5000 0.5000 0.5000
Ir: 0.0000 0.0000 0.0000
Ir: 0.0000 0.5000 0.6656
Ir: 0.5000 0.0000 0.3344
Ir: 0.5000 0.5000 0.0000

***

[3]
The following is a DFT calculation (PBE) of a geometry-optimized TlCd2GeIr structure.

## Properties
- Calculated total energy: -0.25948 Ry per atom
- Total magnetization: 0.0 μB/f.u.
- Energy of formation: 0.02 eV/f.u.
- Space group: P4/mmm (123)

Cell lengths 5.3125, 5.3125, 4.6789 Å; angles 90.00, 90.00, 90.00 degrees
Fractional positions:
Tl: 0.0000 0.0000 0.0000
Cd: 0.0000 0.5000 0.5000
Cd: 0.5000 0.0000 0.5000
Ge: 0.5000 0.5000 0.0000
Ir: 0.5000 0.5000 0.5000

***

[4]
The following is a DFT calculation (PBE) of a geometry-optimized ZnCd2GeIr structure.

## Properties
- Calculated total energy: -0.17080 Ry per atom
- Total magnetization: 0.0 μB/f.u.
- Energy of formation: 4.96 eV/f.u.
- Space group: P4/mmm (123)

Cell lengths 4.8841, 4.8841, 4.5530 Å; angles 90.00, 90.00, 90.00 degrees
Fractional positions:
Zn: 0.0000 0.0000 0.0000
Cd: 0.0000 0.5000 0.0000
Cd: 0.5000 0.0000 0.0000
Ge: 0.0000 0.0000 0.5000
Ir: 0.5000 0.5000 0.5000

***

[5]
The following is a DFT calculation (PBE) of a geometry-optimized KCd11Ge structure.

## Properties
- Calculated total energy: -0.08960 Ry per atom
- Total magnetization: 0.0 μB/f.u.
- Energy of formation: -0.07 eV/f.u.
- Space group: C2/m (12)

Cell lengths 7.8055, 7.8055, 7.8222 Å; angles 98.14, 98.14, 135.00 degrees
Fractional positions:
K: 0.0000 0.0000 0.0000
Cd: 0.0000 0.0000 0.5000
Cd: 0.0000 0.5000 0.0000
Cd: 0.0025 0.3565 0.3554
Cd: 0.2853 0.5017 0.7819
Cd: 0.3565 0.0025 0.3554
Cd: 0.4983 0.7147 0.2181
Cd: 0.5000 0.0000 0.0000
Cd: 0.5017 0.2853 0.7819
Cd: 0.6435 0.9975 0.6446
Cd: 0.7147 0.4983 0.2181
Cd: 0.9975 0.6435 0.6446
Ge: 0.5000 0.5000 0.5000

***

[6]
The following is a DFT calculation (PBE) of a geometry-optimized K2Cd2Ge structure.

## Properties
- Calculated total energy: -0.11555 Ry per atom
- Total magnetization: 0.5 μB/f.u.
- Energy of formation: 0.78 eV/f.u.
- Energy above the most stable polymorph in this dataset: 233 meV per atom
- Space group: I4/mmm (139)

Cell lengths 11.1112, 11.1112, 11.1112 Å; angles 158.86, 158.86, 30.07 degrees
Fractional positions:
K: 0.0956 0.0956 0.0000
K: 0.9044 0.9044 0.0000
Cd: 0.2500 0.7500 0.5000
Cd: 0.7500 0.2500 0.5000
Ge: 0.5000 0.5000 0.0000

***

[7]
The following is a DFT calculation (PBE) of a geometry-optimized KCd2Ge2 structure.

## Properties
- Calculated total energy: -0.18633 Ry per atom
- Total magnetization: 0.0 μB/f.u.
- Energy of formation: -0.51 eV/f.u.
- Energy above the most stable polymorph in this dataset: 0 meV per atom
- Space group: I4/mmm (139)

Cell lengths 6.5980, 6.5980, 6.5980 Å; angles 138.26, 138.26, 60.50 degrees
Fractional positions:
K: 0.0000 0.0000 0.0000
Cd: 0.2500 0.7500 0.5000
Cd: 0.7500 0.2500 0.5000
Ge: 0.3892 0.3892 0.0000
Ge: 0.6108 0.6108 0.0000

***

[8]
The following is a DFT calculation (PBE) of a geometry-optimized KCd2Ge2 structure.

## Properties
- Calculated total energy: -0.17323 Ry per atom
- Total magnetization: 0.0 μB/f.u.
- Energy of formation: 0.38 eV/f.u.
- Energy above the most stable polymorph in this dataset: 178 meV per atom
- Space group: P4/mbm (127)

Cell lengths 8.7622, 8.7622, 3.1597 Å; angles 90.00, 90.00, 90.00 degrees
Fractional positions:
K: 0.0000 0.0000 0.0000
K: 0.5000 0.5000 0.0000
Cd: 0.1438 0.3562 0.5000
Cd: 0.3562 0.8562 0.5000
Cd: 0.6438 0.1438 0.5000
Cd: 0.8562 0.6438 0.5000
Ge: 0.1461 0.6461 0.0000
Ge: 0.3539 0.1461 0.0000
Ge: 0.6461 0.8539 0.0000
Ge: 0.8539 0.3539 0.0000

***

[9]
The following is a DFT calculation (PBE) of a geometry-optimized K2CdGe2 structure.

## Properties
- Calculated total energy: -0.17445 Ry per atom
- Total magnetization: 0.0 μB/f.u.
- Energy of formation: 0.48 eV/f.u.
- Energy above the most stable polymorph in this dataset: 0 meV per atom
- Space group: P4/mbm (127)

Cell lengths 9.5216, 9.5216, 3.7162 Å; angles 90.00, 90.00, 90.00 degrees
Fractional positions:
K: 0.2043 0.2957 0.0000
K: 0.2957 0.7957 0.0000
K: 0.7043 0.2043 0.0000
K: 0.7957 0.7043 0.0000
Cd: 0.0000 0.0000 0.5000
Cd: 0.5000 0.5000 0.5000
Ge: 0.0873 0.5873 0.5000
Ge: 0.4127 0.0873 0.5000
Ge: 0.5873 0.9127 0.5000
Ge: 0.9127 0.4127 0.5000

***

[10]
The following is a DFT calculation (PBE) of a geometry-optimized KCd4Ge structure.

## Properties
- Calculated total energy: -0.10875 Ry per atom
- Total magnetization: 0.0 μB/f.u.
- Energy of formation: 0.50 eV/f.u.
- Energy above the most stable polymorph in this dataset: 97 meV per atom
- Space group: F-43m (216)

Cell lengths 6.0329, 6.0329, 6.0329 Å; angles 60.00, 60.00, 60.00 degrees
Fractional positions:
K: 0.0000 0.0000 0.0000
Cd: 0.3752 0.3752 0.3752
Cd: 0.3752 0.3752 0.8743
Cd: 0.3752 0.8743 0.3752
Cd: 0.8743 0.3752 0.3752
Ge: 0.7500 0.7500 0.7500

***

[11]
The following is a DFT calculation (PBE) of a geometry-optimized K3CdGe structure.

## Properties
- Calculated total energy: -0.11401 Ry per atom
- Total magnetization: 1.0 μB/f.u.
- Energy of formation: 1.07 eV/f.u.
- Energy above the most stable polymorph in this dataset: 0 meV per atom
- Space group: Pm-3m (221)

Cell lengths 6.5285, 6.5285, 6.5285 Å; angles 90.00, 90.00, 90.00 degrees
Fractional positions:
K: 0.0000 0.0000 0.5000
K: 0.0000 0.5000 0.0000
K: 0.5000 0.0000 0.0000
Cd: 0.5000 0.5000 0.5000
Ge: 0.0000 0.0000 0.0000

***

[12]
The following is a DFT calculation (PBE) of a geometry-optimized KCd4Ge2 structure.

## Properties
- Calculated total energy: -0.15112 Ry per atom
- Total magnetization: 0.0 μB/f.u.
- Energy of formation: -0.40 eV/f.u.
- Space group: Cmmm (65)

Cell lengths 8.3349, 8.3349, 4.5975 Å; angles 90.00, 90.00, 147.93 degrees
Fractional positions:
K: 0.0000 0.0000 0.0000
Cd: 0.1793 0.8207 0.5000
Cd: 0.3157 0.6843 0.0000
Cd: 0.6843 0.3157 0.0000
Cd: 0.8207 0.1793 0.5000
Ge: 0.4191 0.5809 0.5000
Ge: 0.5809 0.4191 0.5000

***

no.,calculated volume (A^3/atom)
1,25.34
2,19.43
3,26.41
4,21.72
5,24.08
6,35.67
7,25.19
8,24.26
9,33.69
10,25.88
11,55.65
12,24.22